Compound: Ta2InCl
Source: Alexandria via LeMat-Bulk
Functional: PBE
Structure: relaxed

Computed properties:
- formation energy without anion corrections (eV/atom) = 0.42
- N(E_F) (states/eV/cell) = 2.9
- E above lowest polymorph (meV per atom) = 544
- E_tot (eV/atom) = -6.6572

POSCAR file:
```
Ta2InCl
1.0
-1.5215 2.5758 5.1686
1.5215 -2.5758 5.1686
1.5215 2.5758 -5.1686
Ta In Cl
2 1 1
Direct
0.0000 0.0000 0.0000
0.7852 0.2852 0.5000
0.2792 0.7792 0.5000
0.5716 0.5716 0.0000
```


Compound: K2PtSe
Source: Alexandria via LeMat-Bulk
Functional: PBE
Structure: relaxed

Computed properties:
- formation energy without anion corrections (eV/atom) = -0.63
- E_tot (eV/atom) = -3.5571

POSCAR file:
```
K2PtSe
1.0
5.4254 -2.2988 0.0000
5.4254 2.2988 0.0000
-2.9360 0.0000 4.8281
K Pt Se
2 1 1
Direct
0.0000 0.0000 0.0000
0.1855 0.1855 0.6852
0.8043 0.8043 0.3045
0.3828 0.3828 0.3822
```


Compound: Ce3PbSe6
Source: Alexandria via LeMat-Bulk
Functional: PBE
Structure: relaxed

Computed properties:
- formation energy without anion corrections (eV/atom) = -1.50
- N(E_F) (states/eV/cell) = 32.7
- E above lowest polymorph (meV per atom) = 0
- E_tot (eV/atom) = -5.7461

POSCAR file:
```
Ce3PbSe6
1.0
11.7404 0.0000 0.0000
0.0000 4.3695 0.0000
-3.8074 0.0000 11.6073
Ce Pb Se
6 2 12
Direct
0.0139 0.2500 0.1738
0.1937 0.7500 0.5204
0.3398 0.2500 0.9319
0.6602 0.7500 0.0681
0.8063 0.2500 0.4796
0.9861 0.7500 0.8262
0.4038 0.2500 0.3285
0.5962 0.7500 0.6715
0.0401 0.2500 0.4156
0.1131 0.2500 0.9766
0.2038 0.7500 0.2764
0.2354 0.7500 0.7772
0.3838 0.2500 0.5619
0.4256 0.7500 0.0975
0.5744 0.2500 0.9025
0.6162 0.7500 0.4381
0.7646 0.2500 0.2228
0.7962 0.2500 0.7236
0.8869 0.7500 0.0234
0.9599 0.7500 0.5844
```


Compound: Ac2La2Pm
Source: Alexandria via LeMat-Bulk
Functional: PBE
Structure: relaxed

Computed properties:
- formation energy from the elements (eV/atom) = 0.3923
- N(E_F) (states/eV/cell) = 9.2
- E above lowest polymorph (meV per atom) = 350
- E_tot (eV/atom) = -4.1721

POSCAR file:
```
Ac2La2Pm
1.0
-2.5126 2.5126 8.2767
2.5126 -2.5126 8.2767
2.5126 2.5126 -8.2767
Ac La Pm
2 2 1
Direct
0.2500 0.7500 0.5000
0.7500 0.2500 0.5000
0.0915 0.0915 0.0000
0.9085 0.9085 0.0000
0.5000 0.5000 0.0000
```


Compound: CeSc2Ir
Source: Alexandria via LeMat-Bulk
Functional: PBE
Structure: relaxed

Computed properties:
- formation energy from the elements (eV/atom) = -0.3211
- N(E_F) (states/eV/cell) = 9.1
- E above lowest polymorph (meV per atom) = 205
- E_tot (eV/atom) = -7.1856

POSCAR file:
```
CeSc2Ir
1.0
2.3107 1.3341 5.3559
-2.3107 1.3341 5.3559
0.0000 -2.6682 5.3559
Ce Sc Ir
1 2 1
Direct
0.0000 0.0000 0.0000
0.2129 0.2129 0.2129
0.4492 0.4492 0.4492
0.8247 0.8247 0.8247
```


Compound: KTcPb2
Source: Alexandria via LeMat-Bulk
Functional: PBE
Structure: relaxed

Computed properties:
- formation energy from the elements (eV/atom) = 0.8286
- N(E_F) (states/eV/cell) = 3.4
- E above lowest polymorph (meV per atom) = 578
- E_tot (eV/atom) = -3.8915

POSCAR file:
```
KTcPb2
1.0
-2.2850 2.2850 5.1375
2.2850 -2.2850 5.1375
2.2850 2.2850 -5.1375
K Tc Pb
1 1 2
Direct
0.0000 0.0000 0.0000
0.7500 0.2500 0.5000
0.2500 0.7500 0.5000
0.5000 0.5000 0.0000
```


Compound: Pm4Dy3Tl
Source: Alexandria via LeMat-Bulk
Functional: PBE
Structure: relaxed

Computed properties:
- formation energy from the elements (eV/atom) = -0.0606
- N(E_F) (states/eV/cell) = 20.4
- E above lowest polymorph (meV per atom) = 14
- E_tot (eV/atom) = -4.4575

POSCAR file:
```
Pm4Dy3Tl
1.0
11.3184 0.0000 0.0000
0.0000 7.1593 0.0000
0.0000 0.0000 6.2459
Pm Dy Tl
8 6 2
Direct
0.0000 0.1294 0.0000
0.0000 0.8682 0.4480
0.2301 0.8672 0.8164
0.2699 0.1328 0.3164
0.5000 0.1318 0.9480
0.5000 0.8706 0.5000
0.7301 0.1328 0.3164
0.7699 0.8672 0.8164
0.0000 0.3712 0.4748
0.2453 0.3842 0.7989
0.2547 0.6158 0.2989
0.5000 0.6288 0.9748
0.7453 0.6158 0.2989
0.7547 0.3842 0.7989
0.0000 0.6077 0.9793
0.5000 0.3923 0.4793
```


Compound: Na2TlCd2Hg5
Source: Alexandria via LeMat-Bulk
Functional: PBE
Structure: relaxed

Computed properties:
- formation energy from the elements (eV/atom) = -0.0851
- N(E_F) (states/eV/cell) = 7.5
- E_tot (eV/atom) = -0.9195

POSCAR file:
```
Na2TlCd2Hg5
1.0
10.9271 0.0000 0.0000
0.0000 10.9271 0.0000
0.0000 0.0000 4.5617
Na Tl Cd Hg
4 2 4 10
Direct
0.1721 0.3279 0.0000
0.3279 0.8279 0.0000
0.6721 0.1721 0.0000
0.8279 0.6721 0.0000
0.0000 0.0000 0.0000
0.5000 0.5000 0.0000
0.1234 0.6234 0.0000
0.3766 0.1234 0.0000
0.6234 0.8766 0.0000
0.8766 0.3766 0.0000
0.0000 0.5000 0.5000
0.0899 0.8071 0.5000
0.1929 0.0899 0.5000
0.3071 0.5899 0.5000
0.4101 0.3071 0.5000
0.5000 0.0000 0.5000
0.5899 0.6929 0.5000
0.6929 0.4101 0.5000
0.8071 0.9101 0.5000
0.9101 0.1929 0.5000
```


Compound: BaCu3AsP
Source: Alexandria via LeMat-Bulk
Functional: PBE
Structure: relaxed

Computed properties:
- formation energy from the elements (eV/atom) = -0.3097
- N(E_F) (states/eV/cell) = 2.2
- E_tot (eV/atom) = -4.3548

POSCAR file:
```
BaCu3AsP
1.0
3.3043 -6.1617 0.0000
3.3043 6.1617 0.0000
0.0000 0.0000 6.0670
Ba Cu As P
2 6 2 2
Direct
0.2331 0.7669 0.7500
0.7669 0.2331 0.2500
0.2142 0.7858 0.2500
0.3110 0.3110 0.0000
0.3110 0.3110 0.5000
0.6890 0.6890 0.0000
0.6890 0.6890 0.5000
0.7858 0.2142 0.7500
0.0306 0.9694 0.2500
0.9694 0.0306 0.7500
0.3906 0.6094 0.2500
0.6094 0.3906 0.7500
```


Compound: AcPrNi4
Source: Alexandria via LeMat-Bulk
Functional: PBE
Structure: relaxed

Computed properties:
- formation energy from the elements (eV/atom) = -0.2729
- N(E_F) (states/eV/cell) = 7.5
- E above lowest polymorph (meV per atom) = 0
- E_tot (eV/atom) = -5.6084

POSCAR file:
```
AcPrNi4
1.0
4.0951 0.0000 0.0000
0.0000 4.1014 0.0000
0.0000 0.0000 7.1008
Ac Pr Ni
1 1 4
Direct
0.0000 0.0000 0.0000
0.0000 0.5000 0.5000
0.5000 0.0000 0.3361
0.5000 0.0000 0.6639
0.5000 0.5000 0.1704
0.5000 0.5000 0.8296
```


Compound: GeIrPd3
Source: Alexandria via LeMat-Bulk
Functional: PBE
Structure: relaxed

Computed properties:
- formation energy from the elements (eV/atom) = 1.1454
- N(E_F) (states/eV/cell) = 7.5
- E above lowest polymorph (meV per atom) = 319
- E_tot (eV/atom) = -4.6660

POSCAR file:
```
GeIrPd3
1.0
4.8392 0.0000 0.0000
0.0000 4.8392 0.0000
0.0000 0.0000 4.8392
Ge Ir Pd
1 1 3
Direct
0.0000 0.0000 0.0000
0.5000 0.5000 0.5000
0.0000 0.5000 0.5000
0.5000 0.0000 0.5000
0.5000 0.5000 0.0000
```


Compound: Nb3S
Source: Alexandria via LeMat-Bulk
Functional: PBE
Structure: relaxed

Computed properties:
- formation energy without anion corrections (eV/atom) = -0.11
- N(E_F) (states/eV/cell) = 4.1
- E_tot (eV/atom) = -8.6910

POSCAR file:
```
Nb3S
1.0
2.9371 0.0000 0.0000
0.0000 3.2210 0.0000
0.0000 0.0000 7.6395
Nb S
3 1
Direct
0.0000 0.0000 0.0000
0.0000 0.5000 0.3220
0.5000 0.5000 0.7266
0.5000 0.0000 0.4757
```


Copy entry 8 word for word.
Compound: Na2TlCd2Hg5
Source: Alexandria via LeMat-Bulk
Functional: PBE
Structure: relaxed

Computed properties:
- formation energy from the elements (eV/atom) = -0.0851
- N(E_F) (states/eV/cell) = 7.5
- E_tot (eV/atom) = -0.9195

POSCAR file:
```
Na2TlCd2Hg5
1.0
10.9271 0.0000 0.0000
0.0000 10.9271 0.0000
0.0000 0.0000 4.5617
Na Tl Cd Hg
4 2 4 10
Direct
0.1721 0.3279 0.0000
0.3279 0.8279 0.0000
0.6721 0.1721 0.0000
0.8279 0.6721 0.0000
0.0000 0.0000 0.0000
0.5000 0.5000 0.0000
0.1234 0.6234 0.0000
0.3766 0.1234 0.0000
0.6234 0.8766 0.0000
0.8766 0.3766 0.0000
0.0000 0.5000 0.5000
0.0899 0.8071 0.5000
0.1929 0.0899 0.5000
0.3071 0.5899 0.5000
0.4101 0.3071 0.5000
0.5000 0.0000 0.5000
0.5899 0.6929 0.5000
0.6929 0.4101 0.5000
0.8071 0.9101 0.5000
0.9101 0.1929 0.5000
```